[1]
{
  "formula": "CaYHf2O",
  "functional": "PBE",
  "state": "optimized geometry",
  "lattice": [[4.981, 0.000, 0.000], [0.000, 4.981, 0.000], [0.000, 0.000, 5.641]],
  "species": ["Ca", "Y", "Hf", "Hf", "O"],
  "fractional_positions": [[0.000, 0.000, 0.000], [0.000, 0.000, 0.500], [0.000, 0.500, 0.000], [0.500, 0.000, 0.000], [0.500, 0.500, 0.500]],
  "dft_energy_ev_per_atom": -4.756,
  "e_form_raw_ev_per_atom": 1.91,
  "magnetic_moment_mub_per_cell": 0.0,
  "sg": "P4/mmm (123)"
}

[2]
{
  "formula": "CaHf3Os",
  "functional": "PBE",
  "state": "optimized geometry",
  "lattice": [[5.109, 0.000, 0.000], [0.000, 5.109, 0.000], [0.000, 0.000, 5.109]],
  "species": ["Ca", "Hf", "Hf", "Hf", "Os"],
  "fractional_positions": [[0.000, 0.000, 0.000], [0.000, 0.500, 0.500], [0.500, 0.000, 0.500], [0.500, 0.500, 0.000], [0.500, 0.500, 0.500]],
  "ef_ev_per_fu": 1.3,
  "dft_energy_ev_per_atom": -8.366,
  "magnetic_moment_mub_per_cell": 0.0,
  "sg": "Pm-3m (221)"
}

[3]
{
  "formula": "CaHf3Os",
  "functional": "PBE",
  "state": "optimized geometry",
  "lattice": [[4.767, 0.000, 0.000], [0.000, 4.767, 0.000], [0.000, 0.000, 4.767]],
  "species": ["Ca", "Hf", "Hf", "Hf", "Os"],
  "fractional_positions": [[0.000, 0.000, 0.000], [0.000, 0.000, 0.500], [0.000, 0.500, 0.000], [0.500, 0.000, 0.000], [0.500, 0.500, 0.500]],
  "ef_ev_per_fu": 11.0,
  "dft_energy_ev_per_atom": -6.427,
  "magnetic_moment_mub_per_cell": 0.0,
  "sg": "Pm-3m (221)"
}

[4]
{
  "formula": "Ca3HfOs",
  "functional": "PBE",
  "state": "optimized geometry",
  "lattice": [[5.413, 0.000, 0.000], [0.000, 5.413, 0.000], [0.000, 0.000, 5.413]],
  "species": ["Ca", "Ca", "Ca", "Hf", "Os"],
  "fractional_positions": [[0.000, 0.000, 0.500], [0.000, 0.500, 0.000], [0.500, 0.000, 0.000], [0.500, 0.500, 0.500], [0.000, 0.000, 0.000]],
  "ef_ev_per_fu": 4.8,
  "dft_energy_ev_per_atom": -4.487,
  "magnetic_moment_mub_per_cell": 0.0,
  "sg": "Pm-3m (221)"
}